LuSbN2O: optimized geometry, PBE.

Cell lengths 7.931, 7.747, 11.018 Å; angles 90.00, 133.62, 90.00 degrees
Fractional positions:
Lu1 0.059 0.246 0.033
Lu2 0.059 0.254 0.533
Lu3 0.438 0.734 0.476
Lu4 0.438 0.766 0.976
Lu5 0.562 0.234 0.024
Lu6 0.562 0.266 0.524
Lu7 0.941 0.746 0.467
Lu8 0.941 0.754 0.967
Sb1 0.023 0.006 0.265
Sb2 0.023 0.494 0.765
Sb3 0.496 0.507 0.238
Sb4 0.496 0.993 0.738
Sb5 0.504 0.007 0.262
Sb6 0.504 0.493 0.762
Sb7 0.977 0.506 0.235
Sb8 0.977 0.994 0.735
N1 0.059 0.744 0.719
N2 0.059 0.756 0.219
N3 0.187 0.568 0.003
N4 0.187 0.932 0.503
N5 0.297 0.087 0.300
N6 0.297 0.413 0.800
N7 0.444 0.247 0.660
N8 0.444 0.253 0.160
N9 0.556 0.747 0.840
N10 0.556 0.753 0.340
N11 0.703 0.587 0.200
N12 0.703 0.913 0.700
N13 0.813 0.068 0.497
N14 0.813 0.432 0.997
N15 0.941 0.244 0.781
N16 0.941 0.256 0.281
O1 0.195 0.556 0.503
O2 0.195 0.944 0.003
O3 0.322 0.038 0.824
O4 0.322 0.462 0.324
O5 0.678 0.538 0.676
O6 0.678 0.962 0.176
O7 0.805 0.056 0.997
O8 0.805 0.444 0.497

LuSbN2O: optimized geometry, PBE.

Cell lengths 6.383, 6.383, 11.846 Å; angles 90.00, 90.00, 120.00 degrees
Fractional positions:
Lu1 0.000 0.000 0.000
Lu2 0.000 0.000 0.500
Lu3 0.333 0.667 0.474
Lu4 0.333 0.667 0.974
Lu5 0.667 0.333 0.474
Lu6 0.667 0.333 0.974
Sb1 0.000 0.333 0.236
Sb2 0.000 0.667 0.736
Sb3 0.333 0.000 0.236
Sb4 0.333 0.333 0.736
Sb5 0.667 0.000 0.736
Sb6 0.667 0.667 0.236
N1 0.000 0.311 0.400
N2 0.000 0.358 0.073
N3 0.000 0.642 0.573
N4 0.000 0.689 0.900
N5 0.311 0.000 0.400
N6 0.311 0.311 0.900
N7 0.358 0.000 0.073
N8 0.358 0.358 0.573
N9 0.642 0.000 0.573
N10 0.642 0.642 0.073
N11 0.689 0.000 0.900
N12 0.689 0.689 0.400
O1 0.000 0.000 0.207
O2 0.000 0.000 0.707
O3 0.333 0.667 0.260
O4 0.333 0.667 0.760
O5 0.667 0.333 0.260
O6 0.667 0.333 0.760

LuSbN2O: optimized geometry, PBE.

Cell lengths 7.723, 5.514, 5.729 Å; angles 90.00, 90.00, 90.00 degrees
Fractional positions:
Lu1 0.000 0.239 0.000
Lu2 0.000 0.761 0.500
Lu3 0.500 0.256 0.877
Lu4 0.500 0.744 0.377
Sb1 0.245 0.237 0.443
Sb2 0.245 0.763 0.943
Sb3 0.755 0.237 0.443
Sb4 0.755 0.763 0.943
N1 0.000 0.381 0.378
N2 0.000 0.619 0.878
N3 0.196 0.077 0.761
N4 0.196 0.923 0.261
N5 0.500 0.140 0.491
N6 0.500 0.860 0.991
N7 0.804 0.077 0.761
N8 0.804 0.923 0.261
O1 0.314 0.440 0.137
O2 0.314 0.560 0.637
O3 0.686 0.440 0.137
O4 0.686 0.560 0.637

LuSbN2O: optimized geometry, PBE.

Cell lengths 5.618, 8.055, 5.391 Å; angles 90.00, 90.00, 90.00 degrees
Fractional positions:
Lu1 0.065 0.250 0.029
Lu2 0.435 0.750 0.529
Lu3 0.565 0.250 0.471
Lu4 0.935 0.750 0.971
Sb1 0.000 0.000 0.500
Sb2 0.000 0.500 0.500
Sb3 0.500 0.000 0.000
Sb4 0.500 0.500 0.000
N1 0.198 0.569 0.806
N2 0.198 0.931 0.806
N3 0.302 0.069 0.306
N4 0.302 0.431 0.306
N5 0.698 0.569 0.694
N6 0.698 0.931 0.694
N7 0.802 0.069 0.194
N8 0.802 0.431 0.194
O1 0.051 0.750 0.367
O2 0.449 0.250 0.867
O3 0.551 0.750 0.133
O4 0.949 0.250 0.633

Number 1: E_tot -7.058 eV/atom. Number 2: E_tot -6.894 eV/atom. Number 3: E_tot -7.052 eV/atom. Number 4: E_tot -7.063 eV/atom.